1.
A plane-wave DFT calculation with GGA-PBE was carried out for HfHgAs2Br after structural relaxation.

a = 5.221 Å, b = 5.221 Å, c = 5.297 Å
α = 90.00°, β = 90.00°, γ = 90.00°
Positions (direct):
Hf 0.000 0.000 0.000
Hg 0.500 0.500 0.500
As 0.000 0.500 0.000
As 0.500 0.000 0.000
Br 0.000 0.000 0.500

Summary:
The energy above the most stable polymorph in this dataset is 0 meV per atom. The calculation puts the raw formation energy at -0.0780 eV/atom. Its space group is P4/mmm (123).

---

2.
A plane-wave DFT calculation with GGA-PBE was carried out for TaOs after structural relaxation.

a = 2.867 Å, b = 2.867 Å, c = 9.510 Å
α = 90.00°, β = 90.00°, γ = 120.00°
Positions (direct):
Ta 0.333 0.667 0.000
Ta 0.667 0.333 0.500
Os 0.333 0.667 0.730
Os 0.667 0.333 0.230

Summary:
Its space group is P6_3mc (186). As for the total energy: -22.07 eV per formula unit.

---

3.
A plane-wave DFT calculation with GGA-PBE was carried out for Fe4TeIr after structural relaxation.

a = 4.919 Å, b = 4.919 Å, c = 4.919 Å
α = 60.00°, β = 60.00°, γ = 60.00°
Positions (direct):
Fe 0.125 0.125 0.125
Fe 0.125 0.125 0.626
Fe 0.125 0.626 0.125
Fe 0.626 0.125 0.125
Te 0.500 0.500 0.500
Ir 0.750 0.750 0.750

Summary:
The calculation puts the raw formation energy at 0.3064 eV/atom. Its space group is F-43m (216).

---

4.
A plane-wave DFT calculation with GGA-PBE was carried out for CaLaSeO6 after structural relaxation.

a = 5.513 Å, b = 5.513 Å, c = 4.934 Å
α = 90.00°, β = 90.00°, γ = 120.00°
Positions (direct):
Ca 0.000 0.000 0.000
La 0.667 0.333 0.500
Se 0.333 0.667 0.000
O 0.056 0.400 0.211
O 0.056 0.656 0.789
O 0.344 0.400 0.789
O 0.344 0.944 0.211
O 0.600 0.656 0.211
O 0.600 0.944 0.789

Summary:
The calculation puts the raw formation energy at -1.8269 eV/atom. Its space group is P312 (149).

---

5.
A plane-wave DFT calculation with GGA-PBE was carried out for SmThSnHg after structural relaxation.

a = 5.427 Å, b = 5.427 Å, c = 5.427 Å
α = 60.00°, β = 60.00°, γ = 60.00°
Positions (direct):
Sm 0.000 0.000 0.000
Th 0.500 0.500 0.500
Sn 0.250 0.250 0.250
Hg 0.750 0.750 0.750

Summary:
Its space group is F-43m (216). As for the total energy: -18.19 eV per formula unit.

---

6.
A plane-wave DFT calculation with GGA-PBE was carried out for Cs2TlZnF6 after structural relaxation.

a = 6.408 Å, b = 6.408 Å, c = 6.408 Å
α = 60.00°, β = 60.00°, γ = 60.00°
Positions (direct):
Cs 0.250 0.250 0.250
Cs 0.750 0.750 0.750
Tl 0.000 0.000 0.000
Zn 0.500 0.500 0.500
F 0.271 0.271 0.729
F 0.271 0.729 0.271
F 0.271 0.729 0.729
F 0.729 0.271 0.271
F 0.729 0.271 0.729
F 0.729 0.729 0.271

Summary:
The calculation puts the raw formation energy at -2.3458 eV/atom. Its space group is Fm-3m (225).

---

7.
A plane-wave DFT calculation with GGA-PBE was carried out for Mg3In3Ni2 after structural relaxation.

a = 7.411 Å, b = 15.524 Å, c = 5.564 Å
α = 90.00°, β = 90.00°, γ = 90.00°
Positions (direct):
Mg 0.032 0.116 0.078
Mg 0.032 0.384 0.078
Mg 0.168 0.250 0.661
Mg 0.332 0.750 0.161
Mg 0.468 0.616 0.578
Mg 0.468 0.884 0.578
Mg 0.532 0.116 0.422
Mg 0.532 0.384 0.422
Mg 0.668 0.250 0.839
Mg 0.832 0.750 0.339
Mg 0.968 0.616 0.922
Mg 0.968 0.884 0.922
In 0.168 0.750 0.665
In 0.179 0.036 0.595
In 0.179 0.464 0.595
In 0.321 0.536 0.095
In 0.321 0.964 0.095
In 0.332 0.250 0.165
In 0.668 0.750 0.835
In 0.679 0.036 0.905
In 0.679 0.464 0.905
In 0.821 0.536 0.405
In 0.821 0.964 0.405
In 0.832 0.250 0.335
Ni 0.123 0.619 0.395
Ni 0.123 0.881 0.395
Ni 0.377 0.119 0.895
Ni 0.377 0.381 0.895
Ni 0.623 0.619 0.105
Ni 0.623 0.881 0.105
Ni 0.877 0.119 0.605
Ni 0.877 0.381 0.605

Summary:
Its space group is Pnma (62). As for the total energy: -25.50 eV per formula unit.

---

8.
A plane-wave DFT calculation with GGA-PBE was carried out for Rb2LiSiTe4 after structural relaxation.

a = 14.870 Å, b = 13.211 Å, c = 8.209 Å
α = 84.50°, β = 62.17°, γ = 33.33°
Positions (direct):
Rb 0.057 0.057 0.693
Rb 0.307 0.307 0.943
Rb 0.693 0.693 0.057
Rb 0.943 0.943 0.307
Li 0.125 0.125 0.125
Li 0.875 0.875 0.875
Si 0.375 0.375 0.375
Si 0.625 0.625 0.625
Te 0.001 0.363 0.450
Te 0.314 0.550 0.637
Te 0.363 0.001 0.686
Te 0.450 0.686 0.001
Te 0.550 0.314 0.999
Te 0.637 0.999 0.314
Te 0.686 0.450 0.363
Te 0.999 0.637 0.550

Summary:
The calculation puts the raw formation energy at -0.6197 eV/atom. Its space group is Fddd (70).

---

| no. | N(E_F) (states/eV per cell) |
| --- | --- |
| 1 | 4.187 |
| 2 | 3.181 |
| 3 | 8.751 |
| 4 | 7.073 |
| 5 | 3.465 |
| 6 | 2.896 |
| 7 | 12.980 |
| 8 | 10.402 |